[1]
Compound: Na3Np3AgS8
Source: the Alexandria database
Functional: GGA-PBE
Structure: relaxed

The spin magnetization comes out at 0.600 μB/atom. Its total energy is -6.3840 eV per atom. The formation energy (no corrections) is -1.14 eV per atom. As for the density of states at the Fermi level: 79.95 states/eV/cell. The calculation puts the calculated volume at 23.81 Å³ per atom.

The structure belongs to space group R-3m (No. 166, hexagonal axes); the cell edges are 7.8709, 7.8709 and 19.9755 Å and the angles 90.00°, 90.00° and 120.00°. The asymmetric unit holds Na at (0.0000, 0.5000, 0.0000), Np at (0.0000, 0.5000, 0.5000), Ag at (0.0000, 0.0000, 0.5000), S at (0.0000, 0.0000, 0.2432) and S at (0.0155, 0.5077, 0.7594).


[2]
Compound: Na2NpAgS4
Source: the Alexandria database
Functional: GGA-PBE
Structure: relaxed

The spin magnetization comes out at 0.249 μB/atom. Its total energy is -5.3344 eV per atom. The formation energy (no corrections) is -0.97 eV per atom. As for the density of states at the Fermi level: 4.72 states/eV/cell. The calculation puts the calculated volume at 21.79 Å³ per atom.

The structure belongs to space group P2/m (No. 10); the cell edges are 6.4644, 4.0146 and 7.0577 Å and the angles 90.00°, 107.91° and 90.00°. The asymmetric unit holds Na at (0.0000, 0.0000, 0.0000), Na at (0.5000, 0.5000, 0.0000), Np at (0.0000, 0.5000, 0.5000), Ag at (0.5000, 0.0000, 0.5000), S at (0.2332, 0.0000, 0.7216) and S at (0.2367, 0.5000, 0.2697).